No. 1
ScSb2Au (PBEsol, optimized geometry); VASP energy = -21.6 eV per cell; theoretical density = 9.07 g/cm3; magnetization = 0.00 μB/cell; formation energy (no corrections) = -481 meV/atom; D(E_F) = 1.970 states/eV/cell
1.0
3.908 0.000 0.000
0.000 3.908 0.000
0.000 0.000 5.821
Sc Sb Au
1 2 1
direct
0.000 0.000 0.461 Sc
0.500 0.500 0.302 Sb
0.000 0.000 0.949 Sb
0.500 0.500 0.787 Au

No. 2
Sc3SbAu (PBEsol, optimized geometry); VASP energy = -27.0 eV per cell; theoretical density = 5.36 g/cm3; magnetization = 0.83 μB/cell; formation energy (no corrections) = 260 meV/atom; D(E_F) = 11.055 states/eV/cell
1.0
-4.207 1.531 2.641
-0.223 -4.640 2.333
3.044 1.775 3.821
Sc Au Sb
3 1 1
direct
0.000 0.500 0.000 Sc
0.000 0.000 0.500 Sc
0.500 0.000 0.000 Sc
0.500 0.500 0.500 Au
0.000 0.000 0.000 Sb

No. 3
ScSb2Au (PBEsol, optimized geometry); VASP energy = -21.7 eV per cell; theoretical density = 9.11 g/cm3; magnetization = 0.00 μB/cell; formation energy (no corrections) = -524 meV/atom; D(E_F) = 1.513 states/eV/cell
1.0
-2.307 2.938 -0.957
-2.071 -2.543 -2.816
-1.901 -2.470 4.767
Sc Sb Au
1 2 1
direct
0.536 0.607 0.072 Sc
0.981 0.087 0.963 Sb
0.260 0.654 0.520 Sb
0.723 0.152 0.445 Au

No. 4
SbAu2Se (PBEsol, optimized geometry); VASP energy = -16.2 eV per cell; theoretical density = 11.59 g/cm3; magnetization = 0.00 μB/cell; formation energy (no corrections) = 15 meV/atom; D(E_F) = 1.363 states/eV/cell
1.0
-0.624 3.510 0.621
-4.260 -0.850 0.529
3.242 -2.119 4.685
Sb Se Au
1 1 2
direct
0.500 0.500 0.000 Sb
0.000 0.000 0.000 Se
0.248 0.248 0.496 Au
0.752 0.752 0.504 Au

No. 5
SbAuSe (PBEsol, optimized geometry); VASP energy = -11.9 eV per cell; theoretical density = 9.87 g/cm3; magnetization = 0.00 μB/cell; formation energy (no corrections) = 137 meV/atom; D(E_F) = 1.673 states/eV/cell
1.0
3.561 0.080 0.000
-1.411 3.271 0.000
-1.075 -1.675 5.692
Sb Se Au
1 1 1
direct
0.343 0.343 0.687 Sb
0.652 0.652 0.304 Se
0.005 0.005 0.009 Au

No. 6
SbAu2Se (PBEsol, optimized geometry); VASP energy = -16.5 eV per cell; theoretical density = 11.61 g/cm3; magnetization = 0.00 μB/cell; formation energy (no corrections) = -53 meV/atom; D(E_F) = 1.623 states/eV/cell
1.0
3.938 0.000 0.000
1.969 3.416 0.072
1.969 1.008 6.346
Au Se Sb
2 1 1
direct
0.253 0.253 0.240 Au
0.000 0.000 0.001 Au
0.738 0.738 0.786 Se
0.509 0.509 0.473 Sb

No. 7
SbAuSe2 (PBEsol, optimized geometry); VASP energy = -15.2 eV per cell; theoretical density = 9.62 g/cm3; magnetization = 0.00 μB/cell; formation energy (no corrections) = 241 meV/atom; D(E_F) = 2.601 states/eV/cell
1.0
3.494 0.000 0.000
0.000 3.494 0.000
0.000 0.000 6.741
Au Se Sb
1 2 1
direct
0.500 0.500 0.000 Au
0.000 0.000 0.761 Se
0.000 0.000 0.239 Se
0.500 0.500 0.500 Sb

No. 8
Sb3AuSe (PBEsol, optimized geometry); VASP energy = -17.9 eV per cell; theoretical density = 7.24 g/cm3; magnetization = 0.00 μB/cell; formation energy (no corrections) = 701 meV/atom; D(E_F) = 5.918 states/eV/cell
1.0
-0.125 -4.527 -2.712
4.135 1.601 -2.863
3.278 -2.192 3.509
Au Sb Se
1 3 1
direct
0.000 0.000 0.000 Au
0.000 0.000 0.500 Sb
0.500 0.000 0.000 Sb
0.000 0.500 0.000 Sb
0.500 0.500 0.500 Se

No. 9
SbAuSe2 (PBEsol, optimized geometry); VASP energy = -15.8 eV per cell; theoretical density = 8.49 g/cm3; magnetization = 0.00 μB/cell; formation energy (no corrections) = 90 meV/atom; D(E_F) = 2.247 states/eV/cell
1.0
3.834 0.000 0.000
0.000 4.773 0.000
-1.917 -2.386 5.097
Se Au Sb
2 1 1
direct
0.827 0.827 0.654 Se
0.173 0.173 0.346 Se
0.500 0.000 0.000 Au
0.000 0.500 0.000 Sb

No. 10
SbAuSe (PBEsol, optimized geometry); VASP energy = -12.8 eV per cell; theoretical density = 9.85 g/cm3; magnetization = 0.00 μB/cell; formation energy (no corrections) = -141 meV/atom; D(E_F) = 1.045 states/eV/cell
1.0
3.961 0.000 0.000
-1.981 3.431 0.000
0.000 0.000 4.932
Sb Au Se
1 1 1
direct
0.333 0.667 0.695 Sb
0.000 0.000 0.005 Au
0.667 0.333 0.300 Se

No. 11
SbAuSe3 (PBEsol, optimized geometry); VASP energy = -15.9 eV per cell; theoretical density = 6.57 g/cm3; magnetization = 0.00 μB/cell; formation energy (no corrections) = 823 meV/atom; D(E_F) = 4.775 states/eV/cell
1.0
5.196 0.000 0.000
0.000 5.196 0.000
0.000 0.000 5.196
Se Au Sb
3 1 1
direct
0.000 0.500 0.000 Se
0.500 0.000 0.000 Se
0.000 0.000 0.500 Se
0.500 0.500 0.500 Au
0.000 0.000 0.000 Sb

No. 12
SbAu2Se (PBEsol, optimized geometry); VASP energy = -15.3 eV per cell; theoretical density = 12.33 g/cm3; magnetization = 0.00 μB/cell; formation energy (no corrections) = 228 meV/atom; D(E_F) = 1.543 states/eV/cell
1.0
4.472 0.000 0.000
0.000 4.472 0.000
-2.236 -2.236 4.004
Au Se Sb
2 1 1
direct
0.000 0.000 0.000 Au
0.750 0.250 0.500 Au
0.250 0.750 0.500 Se
0.500 0.500 0.000 Sb

No. 13
SbAuSe2 (PBEsol, optimized geometry); VASP energy = -15.6 eV per cell; theoretical density = 7.79 g/cm3; magnetization = 0.00 μB/cell; formation energy (no corrections) = 146 meV/atom; D(E_F) = 2.762 states/eV/cell
1.0
3.713 0.000 0.000
1.856 3.216 0.000
1.856 1.072 8.509
Se Au Sb
2 1 1
direct
0.109 0.109 0.673 Se
0.891 0.891 0.327 Se
0.500 0.500 0.500 Au
0.000 0.000 0.000 Sb

No. 14
SbAu2Se (PBEsol, optimized geometry); VASP energy = -16.4 eV per cell; theoretical density = 11.70 g/cm3; magnetization = 0.00 μB/cell; formation energy (no corrections) = -39 meV/atom; D(E_F) = 1.662 states/eV/cell
1.0
3.905 0.000 0.000
1.953 3.382 0.000
1.953 1.127 6.391
Se Sb Au
1 1 2
direct
0.000 0.000 0.000 Se
0.500 0.500 0.500 Sb
0.252 0.252 0.243 Au
0.748 0.748 0.757 Au

No. 15
SiSbAu2 (PBEsol, optimized geometry); VASP energy = -18.2 eV per cell; theoretical density = 11.62 g/cm3; magnetization = 0.00 μB/cell; formation energy (no corrections) = -4 meV/atom; relative energy among the computed polymorphs = 0 meV per atom; D(E_F) = 1.591 states/eV/cell
1.0
-2.620 -2.425 -0.433
3.413 -0.637 -2.152
1.223 -2.312 5.550
Sb Si Au
1 1 2
direct
0.000 0.000 0.500 Sb
0.500 0.000 0.000 Si
0.238 0.477 0.202 Au
0.762 0.523 0.798 Au

No. 16
Si2SbAu (PBEsol, optimized geometry); VASP energy = -19.1 eV per cell; theoretical density = 8.30 g/cm3; magnetization = 0.00 μB/cell; formation energy (no corrections) = 230 meV/atom; D(E_F) = 1.546 states/eV/cell
1.0
3.952 0.004 0.000
-0.331 3.938 0.000
-1.811 -1.971 4.817
Si Au Sb
2 1 1
direct
0.500 0.000 0.500 Si
0.000 0.500 0.500 Si
0.500 0.500 0.000 Au
0.000 0.000 0.000 Sb

No. 17
Si2SbAu (PBEsol, optimized geometry); VASP energy = -18.3 eV per cell; theoretical density = 8.37 g/cm3; magnetization = 0.00 μB/cell; formation energy (no corrections) = 413 meV/atom; D(E_F) = 1.878 states/eV/cell
1.0
3.046 0.000 0.000
0.000 4.924 0.000
0.000 0.000 4.957
Sb Au Si
1 1 2
direct
0.000 0.500 0.500 Sb
0.500 0.000 0.500 Au
0.000 0.000 0.000 Si
0.500 0.500 0.000 Si

No. 18
SiSbAu2 (PBEsol, optimized geometry); VASP energy = -17.9 eV per cell; theoretical density = 11.32 g/cm3; magnetization = 0.00 μB/cell; formation energy (no corrections) = 74 meV/atom; relative energy among the computed polymorphs = 78 meV per atom; D(E_F) = 1.768 states/eV/cell
1.0
3.770 0.000 0.000
0.000 4.694 0.258
0.000 -1.920 4.400
Au Sb Si
2 1 1
direct
0.000 0.018 0.980 Au
0.500 0.758 0.242 Au
0.000 0.492 0.505 Sb
0.500 0.233 0.773 Si

No. 19
SiSbAu2 (PBEsol, optimized geometry); VASP energy = -18.0 eV per cell; theoretical density = 11.39 g/cm3; magnetization = 0.00 μB/cell; formation energy (no corrections) = 36 meV/atom; relative energy among the computed polymorphs = 40 meV per atom; D(E_F) = 1.517 states/eV/cell
1.0
3.755 0.000 0.000
1.878 3.252 0.000
1.878 1.084 6.492
Si Sb Au
1 1 2
direct
0.738 0.738 0.787 Si
0.503 0.503 0.491 Sb
0.010 0.010 0.969 Au
0.256 0.256 0.231 Au

No. 20
SiSbAu2 (PBEsol, optimized geometry); VASP energy = -18.0 eV per cell; theoretical density = 11.44 g/cm3; magnetization = 0.00 μB/cell; formation energy (no corrections) = 35 meV/atom; relative energy among the computed polymorphs = 39 meV per atom; D(E_F) = 1.858 states/eV/cell
1.0
4.117 0.000 0.000
0.000 4.418 -0.009
0.000 -0.804 4.342
Au Sb Si
2 1 1
direct
0.000 0.285 0.215 Au
0.000 0.715 0.785 Au
0.500 0.000 0.500 Sb
0.500 0.500 0.000 Si